1.
Here is a relaxed LiCaPm2Te4 crystal from Alexandria. Energies are from PBE-GGA.

POSCAR file:
```
LiCaPm2Te4
1.0
7.651 0.000 0.000
0.000 4.432 0.000
-2.552 0.000 7.327
Li Ca Pm Te
1 1 2 4
direct
0.000 0.000 0.000
0.500 0.500 0.000
0.000 0.500 0.500
0.500 0.000 0.500
0.243 0.500 0.242
0.246 0.000 0.756
0.754 0.000 0.244
0.757 0.500 0.758
```

Output
SG = P2/m, No. 10
E_form (uncorrected) = -1.417 eV per atom

2.
Here is a relaxed CdHSe3 crystal from Alexandria. Energies are from PBE-GGA.

POSCAR file:
```
CdHSe3
1.0
5.350 0.000 0.000
0.000 5.350 0.000
0.000 0.000 5.350
Cd H Se
1 1 3
direct
0.000 0.000 0.000
0.500 0.500 0.500
0.000 0.000 0.500
0.000 0.500 0.000
0.500 0.000 0.000
```

Output
distance to the lowest polymorph of the same formula = 416 meV per atom
SG = Pm-3m, No. 221

3.
Here is a relaxed Pm3PrRu crystal from Alexandria. Energies are from PBE-GGA.

POSCAR file:
```
Pm3PrRu
1.0
5.528 0.000 0.000
0.000 5.528 0.000
0.000 0.000 5.528
Pm Pr Ru
3 1 1
direct
0.000 0.000 0.500
0.000 0.500 0.000
0.500 0.000 0.000
0.500 0.500 0.500
0.000 0.000 0.000
```

Output
distance to the lowest polymorph of the same formula = 154 meV per atom
SG = Pm-3m, No. 221
formation energy from the elements = 2 meV/atom

4.
Here is a relaxed Pm3Nd3Er8 crystal from Alexandria. Energies are from PBE-GGA.

POSCAR file:
```
Pm3Nd3Er8
1.0
-2.833 5.367 7.596
2.833 -5.367 7.596
2.833 5.367 -7.596
Pm Nd Er
3 3 8
direct
0.000 0.000 0.000
0.302 0.000 0.302
0.698 0.000 0.698
0.313 0.813 0.500
0.500 0.500 0.000
0.687 0.187 0.500
0.057 0.398 0.659
0.058 0.220 0.838
0.262 0.602 0.659
0.382 0.220 0.162
0.618 0.780 0.838
0.738 0.398 0.341
0.942 0.780 0.162
0.943 0.602 0.341
```

Output
distance to the lowest polymorph of the same formula = 0 meV per atom
SG = Immm, No. 71
formation energy from the elements = 110 meV/atom

5.
Here is a relaxed CaYOs2 crystal from Alexandria. Energies are from PBE-GGA.

POSCAR file:
```
CaYOs2
1.0
1.588 0.917 9.041
-1.588 0.917 9.041
0.000 -1.834 9.041
Ca Y Os
1 1 2
direct
0.000 0.000 0.000
0.500 0.500 0.500
0.248 0.248 0.248
0.752 0.752 0.752
```

Output
SG = R-3m, No. 166
formation energy from the elements = 609 meV/atom

Number 1: total magnetic moment 0.0 μB/cell. Number 2: total magnetic moment 3.6 μB/cell. Number 3: total magnetic moment 1.2 μB/cell. Number 4: total magnetic moment 0.0 μB/cell. Number 5: total magnetic moment 0.0 μB/cell.